Material: LaPbAuS3
Method: DFT, GGA-PBE
State: relaxed

It has space group Cmcm (No. 63), with a = 4.108 Å, b = 13.260 Å, c = 10.851 Å, α = 90.00°, β = 90.00° and γ = 90.00°. The distinct sites, in fractional coordinates, are La at (0.000, 0.000, 0.000), Pb at (0.000, 0.239, 0.250), Au at (0.000, 0.469, 0.750), S at (0.000, 0.090, 0.750) and S at (0.000, 0.355, 0.567).

As for the polymorph energy (0 for the lowest one): 0 meV/atom. The uncorrected energy is -5.067 eV per atom.